AgPbSe2 | GGA-PBE | relaxed

Properties
ΔE_f (raw) in eV/atom: -0.039
Crystal system: tetragonal

Cell lengths 5.5142, 5.5142, 6.3079 Å; angles 90.00, 90.00, 90.00 degrees
Space group I4/mmm (No. 139)
Symmetry-distinct sites (fractional):
Ag: 0.0000 0.0000 0.0000 x2
Pb: 0.0000 0.0000 0.5000 x2
Se: 0.0000 0.5000 0.2500 x4



NdU6S8 | GGA-PBE | relaxed

Properties
ΔE_f (raw) in eV/atom: -0.994
Crystal system: trigonal

Cell lengths 9.6780, 9.6780, 13.2594 Å; angles 90.00, 90.00, 120.00 degrees
Space group R-3 (No. 148, hexagonal axes)
Symmetry-distinct sites (fractional):
Nd: 0.0000 0.0000 0.0000 x3
U: 0.0483 0.2226 0.4387 x18
S: 0.0000 0.0000 0.2971 x6
S: 0.0139 0.7087 0.0532 x18



FeCoRu2 | GGA-PBE | relaxed

Properties
Formation energy in eV per atom: 0.259
Crystal system: cubic
E above lowest polymorph in meV per atom: 144.4

Cell lengths 5.8878, 5.8878, 5.8878 Å; angles 90.00, 90.00, 90.00 degrees
Space group Fm-3m (No. 225)
Symmetry-distinct sites (fractional):
Fe: 0.0000 0.0000 0.0000 x4
Co: 0.0000 0.0000 0.5000 x4
Ru: 0.2500 0.2500 0.2500 x8



RbBaPCl2 | GGA-PBE | relaxed

Properties
ΔE_f (raw) in eV/atom: -1.146
Crystal system: tetragonal
E above lowest polymorph in meV per atom: 0.0

Cell lengths 6.0470, 6.0470, 6.4736 Å; angles 90.00, 90.00, 90.00 degrees
Space group P4/mmm (No. 123)
Symmetry-distinct sites (fractional):
Rb: 0.0000 0.0000 0.0000 x1
Ba: 0.5000 0.5000 0.5000 x1
P: 0.5000 0.5000 0.0000 x1
Cl: 0.0000 0.5000 0.5000 x2



Pr4Ru | GGA-PBE | relaxed

Properties
Formation energy in eV per atom: 0.041
Crystal system: cubic
E above lowest polymorph in meV per atom: 100.9

Cell lengths 5.5970, 5.5970, 5.5970 Å; angles 90.00, 90.00, 90.00 degrees
Space group Pm-3m (No. 221)
Symmetry-distinct sites (fractional):
Pr: 0.0000 0.0000 0.0000 x1
Pr: 0.0000 0.5000 0.5000 x3
Ru: 0.5000 0.5000 0.5000 x1



TbDyCdIr | GGA-PBE | relaxed

Properties
Formation energy in eV per atom: -0.546
Crystal system: cubic

Cell lengths 7.1366, 7.1366, 7.1366 Å; angles 90.00, 90.00, 90.00 degrees
Space group F-43m (No. 216)
Symmetry-distinct sites (fractional):
Tb: 0.0000 0.0000 0.0000 x4
Dy: 0.0000 0.0000 0.5000 x4
Cd: 0.2500 0.2500 0.2500 x4
Ir: 0.2500 0.2500 0.7500 x4



LuTlHg | GGA-PBE | relaxed

Properties
Formation energy in eV per atom: -0.187
Crystal system: cubic

Cell lengths 6.8823, 6.8823, 6.8823 Å; angles 90.00, 90.00, 90.00 degrees
Space group F-43m (No. 216)
Symmetry-distinct sites (fractional):
Lu: 0.0000 0.0000 0.0000 x4
Tl: 0.0000 0.0000 0.5000 x4
Hg: 0.2500 0.2500 0.7500 x4



Ti4IO7 | GGA-PBE | relaxed

Properties
ΔE_f (raw) in eV/atom: -2.728
Crystal system: orthorhombic

Cell lengths 14.7042, 5.4451, 5.4750 Å; angles 90.00, 90.00, 90.00 degrees
Space group Pmn2_1 (No. 31)
Symmetry-distinct sites (fractional):
Ti: 0.1124 0.1789 0.0000 x4
Ti: 0.2328 0.6024 0.0145 x4
I: 0.0000 0.9253 0.6300 x2
O: 0.0000 0.2854 0.0927 x2
O: 0.1639 0.8676 0.0479 x4
O: 0.1738 0.3722 0.7675 x4
O: 0.1839 0.3442 0.2463 x4



Sm4GeP2Se | GGA-PBE | relaxed

Properties
ΔE_f (raw) in eV/atom: -1.497
Crystal system: monoclinic

Cell lengths 7.2179, 4.1252, 7.2291 Å; angles 90.00, 109.12, 90.00 degrees
Space group P2/m (No. 10)
Symmetry-distinct sites (fractional):
Sm: 0.2409 0.0000 0.2375 x2
Sm: 0.2522 0.5000 0.7599 x2
Ge: 0.0000 0.0000 0.5000 x1
P: 0.0000 0.5000 0.0000 x1
P: 0.5000 0.0000 0.0000 x1
Se: 0.5000 0.5000 0.5000 x1



La3SnN | GGA-PBE | relaxed

Properties
ΔE_f (raw) in eV/atom: -1.016
Crystal system: cubic

Cell lengths 5.1094, 5.1094, 5.1094 Å; angles 90.00, 90.00, 90.00 degrees
Space group Pm-3m (No. 221)
Symmetry-distinct sites (fractional):
La: 0.0000 0.0000 0.5000 x3
Sn: 0.5000 0.5000 0.5000 x1
N: 0.0000 0.0000 0.0000 x1



CrNi2Cl | GGA-PBE | relaxed

Properties
ΔE_f (raw) in eV/atom: 0.657
Crystal system: tetragonal
E above lowest polymorph in meV per atom: 467.0

Cell lengths 4.2609, 4.2609, 2.9855 Å; angles 90.00, 90.00, 90.00 degrees
Space group P4/mmm (No. 123)
Symmetry-distinct sites (fractional):
Cr: 0.0000 0.0000 0.0000 x1
Ni: 0.0000 0.5000 0.5000 x2
Cl: 0.5000 0.5000 0.0000 x1



ScReIr2 | GGA-PBE | relaxed

Properties
Formation energy in eV per atom: -0.300
Crystal system: tetragonal
E above lowest polymorph in meV per atom: 155.3

Cell lengths 4.7001, 4.7001, 2.8538 Å; angles 90.00, 90.00, 90.00 degrees
Space group P4/mmm (No. 123)
Symmetry-distinct sites (fractional):
Sc: 0.0000 0.0000 0.0000 x1
Re: 0.5000 0.5000 0.0000 x1
Ir: 0.0000 0.5000 0.5000 x2



CaAc7La12 | GGA-PBE | relaxed

Properties
Formation energy in eV per atom: 0.164
Crystal system: trigonal

Cell lengths 18.3198, 18.3198, 8.3890 Å; angles 90.00, 90.00, 120.00 degrees
Space group R-3 (No. 148, hexagonal axes)
Symmetry-distinct sites (fractional):
Ca: 0.0000 0.0000 0.0000 x3
Ac: 0.0000 0.0000 0.5000 x3
Ac: 0.1070 0.2138 0.7418 x18
La: 0.9997 0.2896 0.9992 x18
La: 0.0973 0.5487 0.9672 x18



InAsP2 | GGA-PBE | relaxed

Properties
Formation energy in eV per atom: 0.532
Crystal system: tetragonal
E above lowest polymorph in meV per atom: 468.9

Cell lengths 4.6506, 4.6506, 3.4214 Å; angles 90.00, 90.00, 90.00 degrees
Space group P4/mmm (No. 123)
Symmetry-distinct sites (fractional):
In: 0.0000 0.0000 0.0000 x1
As: 0.5000 0.5000 0.0000 x1
P: 0.0000 0.5000 0.5000 x2



Nd2MgCu | GGA-PBE | relaxed

Properties
Formation energy in eV per atom: 0.246
Crystal system: trigonal
E above lowest polymorph in meV per atom: 353.9

Cell lengths 3.4602, 3.4602, 33.4851 Å; angles 90.00, 90.00, 120.00 degrees
Space group R-3m (No. 166, hexagonal axes)
Symmetry-distinct sites (fractional):
Nd: 0.0000 0.0000 0.1017 x6
Mg: 0.0000 0.0000 0.0000 x3
Cu: 0.0000 0.0000 0.5000 x3



NaTa2CrMo | GGA-PBE | relaxed

Properties
Formation energy in eV per atom: 2.058
Crystal system: tetragonal

Cell lengths 4.7487, 4.7487, 5.0254 Å; angles 90.00, 90.00, 90.00 degrees
Space group P4/mmm (No. 123)
Symmetry-distinct sites (fractional):
Na: 0.0000 0.0000 0.0000 x1
Ta: 0.0000 0.5000 0.5000 x2
Cr: 0.5000 0.5000 0.0000 x1
Mo: 0.0000 0.0000 0.5000 x1



TmCoHg | GGA-PBE | relaxed

Properties
Formation energy in eV per atom: -0.350
Crystal system: orthorhombic

Cell lengths 3.8477, 16.3842, 3.8073 Å; angles 90.00, 90.00, 90.00 degrees
Space group Cmcm (No. 63)
Symmetry-distinct sites (fractional):
Tm: 0.0000 0.0936 0.2500 x4
Co: 0.0000 0.4646 0.2500 x4
Hg: 0.0000 0.2992 0.2500 x4



CaErHgPt | GGA-PBE | relaxed

Properties
Formation energy in eV per atom: -0.753
Crystal system: cubic

Cell lengths 7.1653, 7.1653, 7.1653 Å; angles 90.00, 90.00, 90.00 degrees
Space group F-43m (No. 216)
Symmetry-distinct sites (fractional):
Ca: 0.0000 0.0000 0.0000 x4
Er: 0.0000 0.0000 0.5000 x4
Hg: 0.2500 0.2500 0.7500 x4
Pt: 0.2500 0.2500 0.2500 x4



TiAgPd5 | GGA-PBE | relaxed

Properties
Formation energy in eV per atom: -0.197
Crystal system: tetragonal
E above lowest polymorph in meV per atom: 0.0

Cell lengths 4.0154, 4.0154, 7.2368 Å; angles 90.00, 90.00, 90.00 degrees
Space group P4/mmm (No. 123)
Symmetry-distinct sites (fractional):
Ti: 0.0000 0.0000 0.0000 x1
Ag: 0.5000 0.5000 0.5000 x1
Pd: 0.0000 0.0000 0.5000 x1
Pd: 0.0000 0.5000 0.2155 x4



KCo2BiH | GGA-PBE | relaxed

Properties
Crystal system: tetragonal

Cell lengths 5.0116, 5.0116, 3.8269 Å; angles 90.00, 90.00, 90.00 degrees
Space group P4/mmm (No. 123)
Symmetry-distinct sites (fractional):
K: 0.0000 0.0000 0.0000 x1
Co: 0.0000 0.5000 0.0000 x2
Bi: 0.5000 0.5000 0.5000 x1
H: 0.0000 0.0000 0.5000 x1



Cd8Ag2Hg | GGA-PBE | relaxed

Properties
Formation energy in eV per atom: 0.035
Crystal system: monoclinic
E above lowest polymorph in meV per atom: 29.6

Cell lengths 8.0310, 13.3378, 5.3176 Å; angles 90.00, 118.73, 90.00 degrees
Space group C2/m (No. 12)
Symmetry-distinct sites (fractional):
Cd: 0.0000 0.2223 0.0000 x4
Cd: 0.0911 0.5000 0.8077 x4
Cd: 0.2115 0.1158 0.6281 x8
Ag: 0.0000 0.3041 0.5000 x4
Hg: 0.0000 0.0000 0.0000 x2



Pa2Pd9Au | GGA-PBE | relaxed

Properties
Formation energy in eV per atom: -0.625
Crystal system: tetragonal

Cell lengths 4.1322, 4.1322, 12.1455 Å; angles 90.00, 90.00, 90.00 degrees
Space group P4/mmm (No. 123)
Symmetry-distinct sites (fractional):
Pa: 0.0000 0.0000 0.1784 x2
Pd: 0.0000 0.5000 0.0000 x2
Pd: 0.0000 0.5000 0.3323 x4
Pd: 0.5000 0.5000 0.1653 x2
Pd: 0.5000 0.5000 0.5000 x1
Au: 0.0000 0.0000 0.5000 x1



Mg2Be2Si | GGA-PBE | relaxed

Properties
ΔE_f (raw) in eV/atom: 0.140
Crystal system: tetragonal

Cell lengths 5.9880, 5.9880, 4.0634 Å; angles 90.00, 90.00, 90.00 degrees
Space group P4/mbm (No. 127)
Symmetry-distinct sites (fractional):
Mg: 0.1703 0.3297 0.0000 x4
Be: 0.1267 0.6267 0.5000 x4
Si: 0.0000 0.0000 0.5000 x2



Ti3TlPb | GGA-PBE | relaxed

Properties
Formation energy in eV per atom: 0.156
Crystal system: orthorhombic
E above lowest polymorph in meV per atom: 0.0

Cell lengths 3.1664, 14.6408, 9.5187 Å; angles 90.00, 90.00, 90.00 degrees
Space group Cmcm (No. 63)
Symmetry-distinct sites (fractional):
Ti: 0.0000 0.1422 0.2500 x4
Ti: 0.0000 0.3286 0.5082 x8
Tl: 0.0000 0.0000 0.0000 x4
Pb: 0.0000 0.1835 0.7500 x4



AcEuBiI | GGA-PBE | relaxed

Properties
ΔE_f (raw) in eV/atom: -0.974
Crystal system: cubic

Cell lengths 8.2192, 8.2192, 8.2192 Å; angles 90.00, 90.00, 90.00 degrees
Space group F-43m (No. 216)
Symmetry-distinct sites (fractional):
Ac: 0.0000 0.0000 0.0000 x4
Eu: 0.0000 0.0000 0.5000 x4
Bi: 0.2500 0.2500 0.2500 x4
I: 0.2500 0.2500 0.7500 x4



| no. | total DFT energy (no corrections) (eV per atom) |
| --- | --- |
| 1 | -3.42 |
| 2 | -8.03 |
| 3 | -8.27 |
| 4 | -3.54 |
| 5 | -5.64 |
| 6 | -5.30 |
| 7 | -2.58 |
| 8 | -8.38 |
| 9 | -6.22 |
| 10 | -6.44 |
| 11 | -5.10 |
| 12 | -9.43 |
| 13 | -4.33 |
| 14 | -4.02 |
| 15 | -3.56 |
| 16 | -7.04 |
| 17 | -4.31 |
| 18 | -3.98 |
| 19 | -5.44 |
| 20 | -2.86 |
| 21 | -1.18 |
| 22 | -6.38 |
| 23 | -3.07 |
| 24 | -5.80 |
| 25 | -5.93 |